Model P:
An optimized crystal structure of BaZrCu2, computed with GGA-PBE.

Structure (POSCAR):
```
BaZrCu2
1.0
3.335 0.000 0.000
0.000 3.393 0.000
0.000 0.000 8.072
Cu Zr Ba
2 1 1
direct
0.000 0.000 0.082
0.500 0.500 0.217
0.000 0.000 0.410
0.500 0.500 0.792
```

Summary:
DOS at the Fermi energy in states/eV/f.u.: 4.4
Calculated density in g cm⁻³: 6.466

Model Q:
An optimized crystal structure of BaZrCu2, computed with GGA-PBE.

Structure (POSCAR):
```
BaZrCu2
1.0
-1.633 -1.082 4.139
-3.983 -2.227 0.382
0.992 -6.248 1.284
Cu Zr Ba
2 1 1
direct
0.563 0.563 0.311
0.937 0.937 0.189
0.250 0.250 0.250
0.750 0.750 0.750
```

Summary:
DOS at the Fermi energy in states/eV/f.u.: 2.7
Calculated density in g cm⁻³: 5.521

The most stable of them is model Q.